1.
LiLa2Co (PBE, relaxed); energy = -4.742 eV/atom; E_form = -0.0229 eV/atom; crystal system = trigonal; space group = R3m; total magnetic moment = 0.000 Bohr magnetons per cell
1.0
1.998 1.153 8.678
-1.998 1.153 8.678
0.000 -2.307 8.678
Li La Co
1 2 1
Cartesian
0.000 0.000 0.000
0.000 0.000 5.899
0.000 0.000 11.545
0.000 0.000 21.755

=====

2.
ZrSb2Pt (PBE, relaxed); formation energy from raw total energies = -0.237 eV/atom; energy = -5.945 eV/atom; crystal system = tetragonal; space group = I4/mmm; total magnetic moment = 0.000 Bohr magnetons per cell
1.0
-2.177 2.177 4.505
2.177 -2.177 4.505
2.177 2.177 -4.505
Zr Sb Pt
1 2 1
Cartesian
0.000 0.000 0.000
2.177 0.000 2.252
0.000 2.177 2.252
0.000 0.000 4.505

=====

3.
Ta2Fe (PBE, relaxed); energy = -10.485 eV/atom; E_form = 0.2372 eV/atom; crystal system = tetragonal; space group = I4_1/amd; total magnetic moment = 0.001 Bohr magnetons per cell
1.0
-1.421 1.421 12.010
1.421 -1.421 12.010
1.421 1.421 -12.010
Ta Fe
4 2
Cartesian
1.421 0.710 1.307
1.421 0.710 4.698
0.000 0.710 7.312
0.000 0.710 10.703
1.421 -0.710 9.008
0.000 2.131 3.003